A relaxed AcRuRhO6 crystal. Source: the Alexandria database, functional PBE.

The structure in extended XYZ format:
```
9
Lattice="-3.2197 -1.9485 3.7556 -0.9454 -5.2264 0.2417 4.1099 -0.5946 3.2152" Properties=species:S:1:pos:R:3 pbc="T T T"
Ac 0.8902 -2.5431 6.9707
Ru 0.6666 -2.6890 2.9399
Rh -0.7218 -5.0805 4.2723
O 0.8305 -2.1421 1.0573
O 1.6943 -1.1830 3.6789
O 0.5569 -3.5826 4.6891
O 2.2985 -3.6703 2.4462
O -0.5852 -4.1406 2.4973
O -0.7955 -1.4150 3.2706
```

## Properties
uncorrected formation energy: -1.5805 eV per atom
total magnetic moment: 2.00 μB/f.u.
N(E_F): 0.518 states/eV per atom
energy: -0.5284 Ry per atom
SG: P312 (149)

A relaxed Ac2RuRhO6 crystal. Source: the Alexandria database, functional PBE.

The structure in extended XYZ format:
```
20
Lattice="5.8460 0.0000 0.0000 0.0000 5.7591 0.0000 0.0000 0.0000 8.0366" Properties=species:S:1:pos:R:3 pbc="T T T"
Ac 2.9230 4.4694 1.9487
Ac 0.0000 1.2898 5.9670
Ac 2.9230 4.4694 6.0879
Ac 0.0000 1.2898 2.0696
Ru 2.9230 1.5318 4.0183
Ru 0.0000 4.2273 0.0000
Rh 0.0000 4.2309 4.0183
Rh 2.9230 1.5282 0.0000
O 2.9230 1.2665 2.0304
O 2.9230 1.2665 6.0062
O 0.0000 4.4926 1.9879
O 0.0000 4.4926 6.0487
O 1.5039 5.6979 4.0183
O 4.3421 5.6979 4.0183
O 1.2525 2.6059 4.0183
O 4.5935 2.6059 4.0183
O 4.1755 3.1532 0.0000
O 1.6705 3.1532 0.0000
O 1.4191 0.0612 0.0000
O 4.4269 0.0612 0.0000
```

## Properties
uncorrected formation energy: -1.9621 eV per atom
total magnetic moment: 1.25 μB/f.u.
N(E_F): 0.291 states/eV per atom
energy: -0.5455 Ry per atom
SG: Pmmn (59)

A relaxed AcRuRh2O8 crystal. Source: the Alexandria database, functional PBE.

The structure in extended XYZ format:
```
12
Lattice="-1.3779 3.4425 -3.0111 -3.8639 1.0042 2.6159 3.5466 4.4955 3.5149" Properties=species:S:1:pos:R:3 pbc="T T T"
Ac 1.7733 2.2478 1.7574
Ru 0.0000 0.0000 0.0000
Rh 0.0826 5.6504 2.4818
Rh -1.7777 3.2918 0.6378
O -2.6105 2.4114 2.1878
O -0.1185 7.5901 3.2571
O -1.1745 3.8803 -1.1400
O 0.9154 6.5308 0.9319
O -1.5766 1.3521 -0.1375
O -0.5206 5.0619 4.2596
O -1.7228 5.1835 1.5309
O 0.0276 3.7587 1.5887
```

## Properties
uncorrected formation energy: -1.1806 eV per atom
total magnetic moment: 0.16 μB/f.u.
N(E_F): 0.659 states/eV per atom
energy: -0.5018 Ry per atom
SG: P2/m (10)

A relaxed Ac2ScRhO6 crystal. Source: the Alexandria database, functional PBE.

The structure in extended XYZ format:
```
20
Lattice="5.7562 0.0000 0.0000 0.0000 5.7561 0.0000 0.0000 0.0000 8.1417" Properties=species:S:1:pos:R:3 pbc="T T T"
Ac 2.8781 4.3158 2.0356
Ac 0.0000 1.4403 6.1064
Ac 2.8781 4.3158 6.1061
Ac 0.0000 1.4403 2.0352
Sc 2.8781 1.4380 4.0708
Sc 0.0000 4.3181 0.0000
Rh 0.0000 4.3162 4.0708
Rh 2.8781 1.4399 0.0000
O 2.8781 1.4411 2.0244
O 2.8781 1.4411 6.1173
O 0.0000 4.3150 2.0464
O 0.0000 4.3150 6.0952
O 1.4315 5.7473 4.0708
O 4.3247 5.7473 4.0708
O 1.4312 2.8849 4.0708
O 4.3251 2.8849 4.0708
O 4.3093 2.8712 0.0000
O 1.4469 2.8712 0.0000
O 1.4466 0.0088 0.0000
O 4.3096 0.0088 0.0000
```

## Properties
uncorrected formation energy: -2.7525 eV per atom
total magnetic moment: 0.00 μB/f.u.
N(E_F): 0.000 states/eV per atom
energy: -0.5819 Ry per atom
SG: Fm-3m (225)

A relaxed Ac3Sc2RhO9 crystal. Source: the Alexandria database, functional PBE.

The structure in extended XYZ format:
```
15
Lattice="5.7792 0.0000 0.0000 -2.8896 5.0049 0.0000 0.0000 0.0000 7.0859" Properties=species:S:1:pos:R:3 pbc="T T T"
Ac 0.0000 3.3366 4.6764
Ac 0.0000 0.0000 0.0000
Ac 2.8896 1.6683 2.4096
Sc 0.0000 3.3366 1.1854
Sc 2.8896 1.6683 5.9005
Rh 0.0000 0.0000 3.5430
O 4.3430 0.8292 4.7073
O 2.8896 3.3466 4.7073
O 1.4362 0.8292 4.7073
O 1.4534 4.1757 2.3787
O 0.0000 1.6583 2.3787
O -1.4534 4.1757 2.3787
O 2.8896 0.0000 0.0000
O -1.4448 2.5025 0.0000
O 1.4448 2.5025 0.0000
```

## Properties
uncorrected formation energy: -2.9764 eV per atom
total magnetic moment: 0.00 μB/f.u.
N(E_F): 0.000 states/eV per atom
energy: -0.5959 Ry per atom
SG: P-3m1 (164)

A relaxed Ac2ScRh3O12 crystal. Source: the Alexandria database, functional PBE.

The structure in extended XYZ format:
```
18
Lattice="-5.3034 4.1047 -0.5666 -3.5108 -0.5300 -5.7174 -6.0357 -2.9291 0.5351" Properties=species:S:1:pos:R:3 pbc="T T T"
Ac -9.1522 0.3979 -3.5431
Ac -5.6976 0.2477 -2.2057
Sc 0.0000 0.0000 0.0000
Rh -2.6517 2.0523 -0.2833
Rh -1.7554 -0.2650 -2.8587
Rh -3.0178 -1.4646 0.2676
O -7.9007 -1.4664 -1.4301
O -10.0199 1.9639 -5.2542
O -10.3705 -1.4044 -4.7266
O -7.4855 2.5224 -2.0549
O -11.2290 0.8150 -2.2600
O -6.4689 -0.1059 -4.9759
O -6.9491 2.1120 -4.3188
O -4.8300 -1.3184 -0.4946
O -4.4793 2.0500 -1.0222
O -7.3644 -1.8769 -3.6940
O -3.6209 -0.1695 -3.4889
O -8.3809 0.7515 -0.7730
```

## Properties
uncorrected formation energy: -1.6071 eV per atom
total magnetic moment: 0.00 μB/f.u.
N(E_F): 0.482 states/eV per atom
energy: -0.5105 Ry per atom
SG: R-3m (166)